(w)
Computed, not measured: a relaxed Ce3Zn4Pd4 crystal at the GGA-PBE level of DFT.

Lattice parameters (Å, degrees): 13.532 13.532 13.532 164.64 160.47 24.94
Fractional positions:
Ce 0.000 0.000 0.000
Ce 0.356 0.856 0.500
Ce 0.644 0.144 0.500
Zn 0.193 0.693 0.500
Zn 0.452 0.452 0.000
Zn 0.548 0.548 0.000
Zn 0.807 0.307 0.500
Pd 0.095 0.595 0.500
Pd 0.261 0.261 0.000
Pd 0.739 0.739 0.000
Pd 0.905 0.405 0.500

=====

(x)
Computed, not measured: a relaxed Ce3Zn4Pd4 crystal at the GGA-PBE level of DFT.

Lattice parameters (Å, degrees): 8.269 8.269 8.269 151.24 126.05 62.28
Fractional positions:
Ce 0.000 0.000 0.000
Ce 0.373 0.873 0.500
Ce 0.627 0.127 0.500
Zn 0.021 0.325 0.696
Zn 0.371 0.675 0.696
Zn 0.629 0.325 0.304
Zn 0.979 0.675 0.304
Pd 0.218 0.218 0.000
Pd 0.305 0.500 0.805
Pd 0.695 0.500 0.195
Pd 0.782 0.782 0.000

=====

In order of decreasing stability: (x), (w).

=====

(w)
Computed, not measured: a relaxed CeZn9Pd2 crystal at the GGA-PBE level of DFT.

Lattice parameters (Å, degrees): 8.271 8.271 8.271 100.11 100.11 130.47
Fractional positions:
Ce 0.375 0.625 0.750
Ce 0.625 0.375 0.250
Zn 0.125 0.875 0.250
Zn 0.134 0.556 0.335
Zn 0.134 0.799 0.577
Zn 0.201 0.278 0.335
Zn 0.201 0.866 0.923
Zn 0.278 0.201 0.835
Zn 0.278 0.444 0.077
Zn 0.444 0.278 0.577
Zn 0.444 0.866 0.165
Zn 0.556 0.134 0.835
Zn 0.556 0.722 0.423
Zn 0.722 0.556 0.923
Zn 0.722 0.799 0.165
Zn 0.799 0.134 0.077
Zn 0.799 0.722 0.665
Zn 0.866 0.201 0.423
Zn 0.866 0.444 0.665
Zn 0.875 0.125 0.750
Pd 0.000 0.000 0.000
Pd 0.000 0.000 0.500
Pd 0.000 0.500 0.000
Pd 0.500 0.000 0.500

=====

(x)
Computed, not measured: a relaxed CeZn9Pd2 crystal at the GGA-PBE level of DFT.

Lattice parameters (Å, degrees): 8.824 8.824 2.912 90.00 90.00 120.00
Fractional positions:
Ce 0.000 0.000 0.000
Zn 0.000 0.500 0.000
Zn 0.184 0.369 0.500
Zn 0.184 0.816 0.500
Zn 0.369 0.184 0.500
Zn 0.500 0.000 0.000
Zn 0.500 0.500 0.000
Zn 0.631 0.816 0.500
Zn 0.816 0.184 0.500
Zn 0.816 0.631 0.500
Pd 0.333 0.667 0.000
Pd 0.667 0.333 0.000

=====

In order of decreasing stability: (w), (x).

=====

(w)
Computed, not measured: a relaxed CeZnPd6 crystal at the GGA-PBE level of DFT.

Lattice parameters (Å, degrees): 7.328 7.328 7.328 43.50 43.50 43.50
Fractional positions:
Ce 0.000 0.000 0.000
Zn 0.500 0.500 0.500
Pd 0.063 0.571 0.571
Pd 0.429 0.429 0.937
Pd 0.429 0.937 0.429
Pd 0.571 0.063 0.571
Pd 0.571 0.571 0.063
Pd 0.937 0.429 0.429

=====

(x)
Computed, not measured: a relaxed CeZnPd6 crystal at the GGA-PBE level of DFT.

Lattice parameters (Å, degrees): 4.116 4.116 7.789 90.00 90.00 90.00
Fractional positions:
Ce 0.000 0.000 0.000
Zn 0.000 0.000 0.500
Pd 0.000 0.500 0.263
Pd 0.000 0.500 0.737
Pd 0.500 0.000 0.263
Pd 0.500 0.000 0.737
Pd 0.500 0.500 0.000
Pd 0.500 0.500 0.500

=====

In order of decreasing stability: (x), (w).

=====

(w)
Computed, not measured: a relaxed Ce2ZrPd crystal at the GGA-PBE level of DFT.

Lattice parameters (Å, degrees): 3.273 3.273 8.982 90.00 90.00 90.00
Fractional positions:
Ce 0.000 0.000 0.225
Ce 0.000 0.000 0.775
Zr 0.500 0.500 0.500
Pd 0.500 0.500 0.000

=====

(x)
Computed, not measured: a relaxed Ce2ZrPd crystal at the GGA-PBE level of DFT.

Lattice parameters (Å, degrees): 3.077 3.077 32.916 90.00 90.00 120.00
Fractional positions:
Ce 0.000 0.000 0.091
Ce 0.000 0.000 0.909
Ce 0.333 0.667 0.576
Ce 0.333 0.667 0.758
Ce 0.667 0.333 0.242
Ce 0.667 0.333 0.424
Zr 0.000 0.000 0.000
Zr 0.333 0.667 0.667
Zr 0.667 0.333 0.333
Pd 0.000 0.000 0.500
Pd 0.333 0.667 0.167
Pd 0.667 0.333 0.833

=====

In order of decreasing stability: (w), (x).

=====

(w)
Computed, not measured: a relaxed Ce3Pm crystal at the GGA-PBE level of DFT.

Lattice parameters (Å, degrees): 3.390 11.427 5.986 90.00 90.00 90.00
Fractional positions:
Ce 0.000 0.000 0.000
Ce 0.000 0.264 0.617
Ce 0.000 0.736 0.617
Ce 0.500 0.236 0.117
Ce 0.500 0.500 0.500
Ce 0.500 0.764 0.117
Pm 0.000 0.500 0.009
Pm 0.500 0.000 0.509

=====

(x)
Computed, not measured: a relaxed Ce3Pm crystal at the GGA-PBE level of DFT.

Lattice parameters (Å, degrees): 4.839 4.839 9.761 90.00 90.00 90.00
Fractional positions:
Ce 0.000 0.000 0.000
Ce 0.000 0.500 0.250
Ce 0.000 0.500 0.750
Ce 0.500 0.000 0.250
Ce 0.500 0.000 0.750
Ce 0.500 0.500 0.500
Pm 0.000 0.000 0.500
Pm 0.500 0.500 0.000

=====

In order of decreasing stability: (x), (w).

=====

(w)
Computed, not measured: a relaxed Ce3Pm crystal at the GGA-PBE level of DFT.

Lattice parameters (Å, degrees): 3.343 4.399 7.746 90.00 90.00 90.00
Fractional positions:
Ce 0.000 0.000 0.000
Ce 0.000 0.500 0.229
Ce 0.500 0.500 0.796
Pm 0.500 0.000 0.490

=====

(x)
Computed, not measured: a relaxed Ce3Pm crystal at the GGA-PBE level of DFT.

Lattice parameters (Å, degrees): 7.931 7.931 7.931 90.00 90.00 90.00
Fractional positions:
Ce 0.000 0.000 0.000
Ce 0.000 0.500 0.500
Ce 0.250 0.250 0.250
Ce 0.250 0.250 0.750
Ce 0.250 0.750 0.250
Ce 0.250 0.750 0.750
Ce 0.500 0.000 0.500
Ce 0.500 0.500 0.000
Ce 0.750 0.250 0.250
Ce 0.750 0.250 0.750
Ce 0.750 0.750 0.250
Ce 0.750 0.750 0.750
Pm 0.000 0.000 0.500
Pm 0.000 0.500 0.000
Pm 0.500 0.000 0.000
Pm 0.500 0.500 0.500

=====

In order of decreasing stability: (w), (x).